The following is a GGA-PBE calculation of crystalline TlAg2PI at its relaxed geometry, from the Alexandria database. Values from VASP.

Summary:
The density of states at the Fermi level is 0.64 states/eV/atom. The value obtained for the total energy is -2.16 eV/atom. Its magnetic moment is 0.00 μB per cell. The formation energy from raw total energies comes out at 0.842 eV/atom.

The structure in Quantum ESPRESSO input format:
```
&SYSTEM
  ibrav = 0, nat = 5, ntyp = 4
/
ATOMIC_SPECIES
P 30.97 P.upf
Ag 107.87 Ag.upf
Tl 204.38 Tl.upf
I 126.90 I.upf
ATOMIC_POSITIONS angstrom
P 0.998 -1.995 -1.584
Ag 1.383 -0.971 2.094
Tl 0.293 -4.530 1.164
Ag -2.089 -1.565 0.654
I 0.000 0.000 0.000
CELL_PARAMETERS angstrom
-4.178 -3.130 1.308
1.997 -3.989 -3.168
2.766 -1.941 4.188
```